Entry from Alexandria: H2Ru2I7 after structural relaxation (GGA-PBE).

Unit cell a=6.925 b=7.010 c=7.280 alpha=100.08 beta=95.03 gamma=101.26
Positions (direct):
H  0.179  0.318  0.053
H  0.821  0.682  0.947
Ru  0.135  0.287  0.569
Ru  0.865  0.713  0.431
I  0.051  0.630  0.741
I  0.201  0.944  0.379
I  0.322  0.226  0.890
I  0.500  0.500  0.500
I  0.678  0.774  0.110
I  0.799  0.056  0.621
I  0.949  0.370  0.259

Calculated values
E = -3.2225 eV/atom
V = 339 Å³ per cell
Total moment = 0.09 μB per atom
Space group = P-1, No. 2